# 1
Entry from Alexandria via LeMat-Bulk: a relaxed structure of Tl3Sn2S4 (PBE-GGA).

```
Tl3Sn2S4
1.0
7.355 -5.393 0.000
7.355 5.393 0.000
-0.890 0.000 7.573
Tl Sn S
6 4 8
Direct
0.147 0.853 0.750
0.208 0.434 0.489
0.434 0.208 0.989
0.566 0.792 0.011
0.792 0.566 0.511
0.853 0.147 0.250
0.006 0.323 0.862
0.323 0.006 0.362
0.677 0.994 0.638
0.994 0.677 0.138
0.110 0.159 0.556
0.159 0.110 0.056
0.186 0.491 0.894
0.491 0.186 0.394
0.509 0.814 0.606
0.814 0.509 0.106
0.841 0.890 0.944
0.890 0.841 0.444
```

## Properties
Size of the total moment ... 0.0 μB/f.u.
N(E_F) ... 0.095 states/eV per atom
Energy ... -3.841 eV per atom
Energy relative to the elements, uncorrected ... -0.3286 eV per atom
Space group ... No. 15



# 2
Entry from Alexandria via LeMat-Bulk: a relaxed structure of Tl2SbW (PBE-GGA).

```
Tl2SbW
1.0
1.602 -2.722 0.000
1.602 2.722 0.000
0.000 0.000 10.934
Tl Sb W
2 1 1
Direct
0.000 0.000 0.228
0.000 0.000 0.772
0.500 0.500 0.500
0.500 0.500 0.000
```

## Properties
Size of the total moment ... 0.0 μB/f.u.
N(E_F) ... 0.650 states/eV per atom
Energy ... -4.602 eV per atom
Energy relative to the elements, uncorrected ... 0.8499 eV per atom
Space group ... No. 65



Question: Number 2 is which compound?
Answer: Tl2SbW